1.
Density functional theory data (GGA-PBE) for a relaxed ScNiMo crystal.

Raw total energy: -7.319 eV/atom

a = 4.2185 Å, b = 4.2185 Å, c = 4.2185 Å
α = 60.00°, β = 60.00°, γ = 60.00°
Fractional positions:
1 Ni 0.7500 0.7500 0.7500
2 Mo 0.5000 0.5000 0.5000
3 Sc 0.0000 0.0000 0.0000



2.
Density functional theory data (GGA-PBE) for a relaxed CoTcAg2 crystal.

Raw total energy: -5.254 eV/atom

a = 5.0226 Å, b = 5.0226 Å, c = 4.7746 Å
α = 80.63°, β = 80.63°, γ = 31.01°
Site moments in Bohr magnetons follow the coordinates.
Fractional positions:
1 Ag 0.4962 0.4962 0.5033  0.03
2 Tc 0.2500 0.2500 0.2500  0.75
3 Ag 0.0038 0.0038 0.9967  0.03
4 Co 0.7500 0.7500 0.7500  1.68



3.
Density functional theory data (GGA-PBE) for a relaxed ZrP2SF crystal.

Raw total energy: -5.168 eV/atom

a = 3.9798 Å, b = 3.9798 Å, c = 5.2156 Å
α = 90.00°, β = 90.00°, γ = 90.00°
Fractional positions:
1 P 0.0000 0.5000 0.0000
2 P 0.5000 0.0000 0.0000
3 F 0.0000 0.0000 0.0000
4 Zr 0.5000 0.5000 0.5000
5 S 0.0000 0.0000 0.5000